1.
BPdO3 after structural relaxation, computed with PBE.

a b c (Å): 3.8589 3.8589 3.8589
angles (deg): 90.00 90.00 90.00
Fractional positions:
O  0.0000  0.0000  0.5000
O  0.0000  0.5000  0.0000
O  0.5000  0.0000  0.0000
Pd  0.0000  0.0000  0.0000
B  0.5000  0.5000  0.5000

Properties
density = 4.775 g cm⁻³
crystal system = cubic
space-group type = Pm-3m (221)
energy relative to the elements, uncorrected = 102.6 kJ per mole of atoms

***

2.
Ac2NiSn3Pt4 after structural relaxation, computed with PBE.

a b c (Å): 4.6027 4.6027 10.8056
angles (deg): 90.00 90.00 90.00
Fractional positions:
Pt  0.0000  0.5000  0.3734
Pt  0.5000  0.0000  0.6266
Pt  0.5000  0.5000  0.0000
Pt  0.0000  0.0000  0.0000
Sn  0.5000  0.0000  0.8721
Sn  0.0000  0.5000  0.1279
Sn  0.0000  0.0000  0.5000
Ni  0.5000  0.5000  0.5000
Ac  0.0000  0.5000  0.7389
Ac  0.5000  0.0000  0.2611

Properties
density = 11.963 g cm⁻³
crystal system = tetragonal
space-group type = P-4m2 (115)
E_form = -0.774 eV per atom

***

3.
La2Sm3PuAs6 after structural relaxation, computed with PBE.

a b c (Å): 4.2600 8.5150 9.5130
angles (deg): 102.93 102.94 90.00
Fractional positions:
As  0.3355  0.9233  0.6711
As  0.0024  0.7574  0.0047
As  0.3350  0.4121  0.6701
As  0.6645  0.0767  0.3289
As  0.9976  0.2426  0.9953
As  0.6650  0.5879  0.3299
Sm  0.8325  0.1662  0.6649
Sm  0.1675  0.8338  0.3351
Sm  0.5000  0.5000  0.0000
La  0.8341  0.6673  0.6682
La  0.1659  0.3327  0.3318
Pu  0.5000  0.0000  0.0000

Properties
density = 7.216 g cm⁻³
crystal system = monoclinic
space-group type = C2/m (12)
E_form = -1.441 eV per atom

***

Question: Among the records above, which one has the highest density?
Answer: Ac2NiSn3Pt4

***

Question: Which value of density does entry 3 give?
Answer: 7.216 g cm⁻³

***

What did the first record say?
BPdO3 after structural relaxation, computed with PBE.

a b c (Å): 3.8589 3.8589 3.8589
angles (deg): 90.00 90.00 90.00
Fractional positions:
O  0.0000  0.0000  0.5000
O  0.0000  0.5000  0.0000
O  0.5000  0.0000  0.0000
Pd  0.0000  0.0000  0.0000
B  0.5000  0.5000  0.5000

Properties
density = 4.775 g cm⁻³
crystal system = cubic
space-group type = Pm-3m (221)
energy relative to the elements, uncorrected = 102.6 kJ per mole of atoms

***

Question: density of number 2 (Ac2NiSn3Pt4)?
Answer: 11.963 g cm⁻³